[1]
Pr8SmEr6 | Alexandria via LeMat-Bulk | GGA-PBE | optimized geometry; M_tot = 0.000 Bohr magnetons per cell; E above lowest polymorph = 63.6 meV/atom; ΔE_f = 5.18 kcal/mol of atoms
1.0
12.721 0.000 0.000
-6.360 11.016 0.000
0.000 0.000 3.730
Pr Sm Er
8 1 6
Direct
0.096 0.326 0.000
0.230 0.904 0.000
0.326 0.230 0.000
0.333 0.667 0.000
0.667 0.333 0.000
0.674 0.770 0.000
0.770 0.096 0.000
0.904 0.674 0.000
0.000 0.000 0.500
0.115 0.629 0.500
0.371 0.486 0.500
0.486 0.115 0.500
0.514 0.885 0.500
0.629 0.514 0.500
0.885 0.371 0.500


[2]
NaTe3Au | Alexandria via LeMat-Bulk | GGA-PBE | optimized geometry; M_tot = 0.000 Bohr magnetons per cell; E above lowest polymorph = 996.8 meV/atom
1.0
5.440 0.000 0.000
0.000 5.440 0.000
0.000 0.000 5.440
Na Te Au
1 3 1
Direct
0.000 0.000 0.000
0.000 0.000 0.500
0.000 0.500 0.000
0.500 0.000 0.000
0.500 0.500 0.500


[3]
TbThMg2Au4 | Alexandria via LeMat-Bulk | GGA-PBE | optimized geometry; M_tot = 0.000 Bohr magnetons per cell; ΔE_f = -16.70 kcal/mol of atoms
1.0
2.442 1.410 8.486
-2.442 1.410 8.486
0.000 -2.820 8.486
Tb Th Mg Au
1 1 2 4
Direct
0.000 0.000 0.000
0.500 0.500 0.500
0.254 0.254 0.254
0.746 0.746 0.746
0.117 0.117 0.117
0.378 0.378 0.378
0.622 0.622 0.622
0.883 0.883 0.883


[4]
Sm3Ga4 | Alexandria via LeMat-Bulk | GGA-PBE | optimized geometry; M_tot = 0.016 Bohr magnetons per cell; E above lowest polymorph = 54.1 meV/atom; ΔE_f = -13.49 kcal/mol of atoms
1.0
2.095 -5.546 0.000
2.095 5.546 0.000
0.000 0.000 14.269
Sm Ga
6 8
Direct
0.005 0.995 0.750
0.295 0.705 0.100
0.295 0.705 0.400
0.705 0.295 0.600
0.705 0.295 0.900
0.995 0.005 0.250
0.000 0.000 0.000
0.000 0.000 0.500
0.279 0.721 0.750
0.418 0.582 0.600
0.418 0.582 0.900
0.582 0.418 0.100
0.582 0.418 0.400
0.721 0.279 0.250


[5]
Ca2PCl | Alexandria via LeMat-Bulk | GGA-PBE | optimized geometry; M_tot = 0.000 Bohr magnetons per cell; final energy = -3.3349 eV/atom
1.0
7.194 0.000 0.000
0.000 7.194 0.000
0.000 0.000 7.194
Ca P Cl
8 4 4
Direct
0.000 0.000 0.000
0.000 0.500 0.500
0.250 0.250 0.250
0.250 0.750 0.750
0.500 0.000 0.500
0.500 0.500 0.000
0.750 0.250 0.750
0.750 0.750 0.250
0.250 0.250 0.750
0.250 0.750 0.250
0.750 0.250 0.250
0.750 0.750 0.750
0.000 0.000 0.500
0.000 0.500 0.000
0.500 0.000 0.000
0.500 0.500 0.500


[6]
Nd12HoAl3 | Alexandria via LeMat-Bulk | GGA-PBE | optimized geometry; M_tot = 0.000 Bohr magnetons per cell; ΔE_f = -2.58 kcal/mol of atoms
1.0
4.937 0.000 0.000
0.000 4.937 0.000
0.000 0.000 20.097
Nd Ho Al
12 1 3
Direct
0.000 0.000 0.000
0.000 0.000 0.243
0.000 0.000 0.500
0.000 0.000 0.757
0.000 0.500 0.122
0.000 0.500 0.366
0.000 0.500 0.634
0.000 0.500 0.878
0.500 0.000 0.122
0.500 0.000 0.366
0.500 0.000 0.634
0.500 0.000 0.878
0.500 0.500 0.500
0.500 0.500 0.000
0.500 0.500 0.243
0.500 0.500 0.757